No. 1
First-principles (PBE) data for SmEr3Pt after structural relaxation, as listed in Alexandria via LeMat-Bulk.

Computed properties:
Magnetization ... 0.004 μB per formula unit
Offset from the most stable computed form ... 57 meV per atom
Energy ... -5.271 eV/atom

Cell: 5.4376 5.4376 5.4376 Å, 90.00 90.00 90.00°
Positions (direct):
Sm 0.0000 0.0000 0.0000
Er 0.0000 0.5000 0.5000
Er 0.5000 0.0000 0.5000
Er 0.5000 0.5000 0.0000
Pt 0.5000 0.5000 0.5000

No. 2
First-principles (PBE) data for YHo2Tc after structural relaxation, as listed in Alexandria via LeMat-Bulk.

Computed properties:
Magnetization ... 0.002 μB per formula unit
Offset from the most stable computed form ... 121 meV per atom
Energy ... -6.486 eV/atom

Cell: 3.4520 3.4520 8.8530 Å, 90.00 90.00 90.00°
Positions (direct):
Y 0.0000 0.0000 0.0000
Ho 0.5000 0.5000 0.3156
Ho 0.5000 0.5000 0.6844
Tc 0.0000 0.0000 0.5000

No. 3
First-principles (PBE) data for Ta2NbAuI after structural relaxation, as listed in Alexandria via LeMat-Bulk.

Computed properties:
E_form (uncorrected) ... 1719 meV/atom
Magnetization ... 0.083 μB per formula unit
Energy ... -6.001 eV/atom

Cell: 5.0189 5.0189 5.0961 Å, 90.00 90.00 90.00°
Positions (direct):
Ta 0.0000 0.5000 0.0000
Ta 0.5000 0.0000 0.0000
Nb 0.0000 0.0000 0.5000
Au 0.0000 0.0000 0.0000
I 0.5000 0.5000 0.5000

No. 4
First-principles (PBE) data for CdReBr2 after structural relaxation, as listed in Alexandria via LeMat-Bulk.

Computed properties:
E_form (uncorrected) ... 1208 meV/atom
Magnetization ... 4.924 μB per formula unit
Offset from the most stable computed form ... 953 meV per atom
Energy ... -2.969 eV/atom

Cell: 5.1918 5.1918 5.1918 Å, 60.00 60.00 60.00°
Positions (direct):
Cd 0.0000 0.0000 0.0000
Re 0.7500 0.7500 0.7500
Br 0.2500 0.2500 0.2500
Br 0.5000 0.5000 0.5000

No. 5
First-principles (PBE) data for ZnTe2P after structural relaxation, as listed in Alexandria via LeMat-Bulk.

Computed properties:
E_form (uncorrected) ... 30 meV/atom
Magnetization ... 0.000 μB per formula unit
Offset from the most stable computed form ... 0 meV per atom
Energy ... -3.212 eV/atom

Cell: 4.0612 4.0612 5.8732 Å, 90.00 90.00 90.00°
Positions (direct):
Zn 0.0000 0.0000 0.0000
Te 0.0000 0.0000 0.5232
Te 0.5000 0.5000 0.0523
P 0.5000 0.5000 0.4874

No. 6
First-principles (PBE) data for BaAs after structural relaxation, as listed in Alexandria via LeMat-Bulk.

Computed properties:
Magnetization ... 0.000 μB per formula unit
Energy ... -4.150 eV/atom

Cell: 6.0690 6.0690 6.0690 Å, 131.89 107.93 91.40°
Positions (direct):
Ba 0.0000 0.0000 0.0000
Ba 0.5681 0.0681 0.5000
As 0.1807 0.3609 0.8198
As 0.5412 0.3609 0.1802

No. 7
First-principles (PBE) data for ScSnBr3 after structural relaxation, as listed in Alexandria via LeMat-Bulk.

Computed properties:
E_form (uncorrected) ... -749 meV/atom
Magnetization ... 1.074 μB per formula unit
Offset from the most stable computed form ... 0 meV per atom
Energy ... -3.819 eV/atom

Cell: 5.3429 5.3429 5.3429 Å, 90.00 90.00 90.00°
Positions (direct):
Sc 0.0000 0.0000 0.0000
Sn 0.5000 0.5000 0.5000
Br 0.0000 0.0000 0.5000
Br 0.0000 0.5000 0.0000
Br 0.5000 0.0000 0.0000

No. 8
First-principles (PBE) data for Cs2AcMn2Se4 after structural relaxation, as listed in Alexandria via LeMat-Bulk.

Computed properties:
E_form (uncorrected) ... -1115 meV/atom
Magnetization ... 9.000 μB per formula unit
Energy ... -5.348 eV/atom

Cell: 8.5228 8.5228 8.6403 Å, 109.23 109.23 30.04°
Positions (direct):
Cs 0.1335 0.1335 0.0543
Cs 0.8665 0.8665 0.9457
Ac 0.0000 0.0000 0.5000
Mn 0.3185 0.3185 0.5153
Mn 0.6815 0.6815 0.4847
Se 0.2025 0.2025 0.6559
Se 0.4704 0.4704 0.7294
Se 0.5296 0.5296 0.2706
Se 0.7975 0.7975 0.3441

No. 9
First-principles (PBE) data for DyScGa2 after structural relaxation, as listed in Alexandria via LeMat-Bulk.

Computed properties:
Magnetization ... 0.000 μB per formula unit
Offset from the most stable computed form ... 180 meV per atom
Energy ... -4.654 eV/atom

Cell: 8.7872 8.7872 8.7872 Å, 23.04 23.04 23.04°
Positions (direct):
Dy 0.0000 0.0000 0.0000
Sc 0.5000 0.5000 0.5000
Ga 0.2460 0.2460 0.2460
Ga 0.7540 0.7540 0.7540

No. 10
First-principles (PBE) data for TcOs after structural relaxation, as listed in Alexandria via LeMat-Bulk.

Computed properties:
Magnetization ... 0.000 μB per formula unit
Offset from the most stable computed form ... 169 meV per atom
Energy ... -10.715 eV/atom

Cell: 2.7280 2.7280 7.8071 Å, 90.00 90.00 90.00°
Positions (direct):
Tc 0.2500 0.2500 0.1335
Tc 0.7500 0.7500 0.8665
Os 0.2500 0.2500 0.6280
Os 0.7500 0.7500 0.3720

No. 11
First-principles (PBE) data for MgZrSe2 after structural relaxation, as listed in Alexandria via LeMat-Bulk.

Computed properties:
E_form (uncorrected) ... -1084 meV/atom
Magnetization ... 0.000 μB per formula unit
Energy ... -5.362 eV/atom

Cell: 7.5823 7.5823 7.5823 Å, 27.84 27.84 27.84°
Positions (direct):
Mg 0.0000 0.0000 0.0000
Zr 0.1656 0.1656 0.1656
Se 0.5828 0.5828 0.5828
Se 0.7497 0.7497 0.7497

No. 12
First-principles (PBE) data for La3ZrCd after structural relaxation, as listed in Alexandria via LeMat-Bulk.

Computed properties:
Magnetization ... 3.264 μB per formula unit
Offset from the most stable computed form ... 366 meV per atom
Energy ... -4.093 eV/atom

Cell: 5.8960 5.8960 5.8960 Å, 90.00 90.00 90.00°
Positions (direct):
La 0.0000 0.0000 0.5000
La 0.0000 0.5000 0.0000
La 0.5000 0.0000 0.0000
Zr 0.5000 0.5000 0.5000
Cd 0.0000 0.0000 0.0000

No. 13
First-principles (PBE) data for MgFe2H after structural relaxation, as listed in Alexandria via LeMat-Bulk.

Computed properties:
Magnetization ... 4.343 μB per formula unit
Offset from the most stable computed form ... 0 meV per atom
Energy ... -5.347 eV/atom

Cell: 5.1528 5.1528 5.1528 Å, 60.00 60.00 60.00°
Positions (direct):
Mg 0.1250 0.1250 0.1250
Mg 0.8750 0.8750 0.8750
Fe 0.0000 0.5000 0.5000
Fe 0.5000 0.0000 0.5000
Fe 0.5000 0.5000 0.0000
Fe 0.5000 0.5000 0.5000
H 0.3750 0.3750 0.3750
H 0.6250 0.6250 0.6250